1.
YCdHSe2: relaxed, PBE.

a = 5.0641 Å, b = 3.7055 Å, c = 5.0641 Å
α = 90.00°, β = 90.00°, γ = 90.00°
Fractional coordinates of all 5 atoms:
Y 0.5000 0.5000 0.5000
H 0.0000 0.0000 0.0000
Se 0.0000 0.0000 0.5000
Se 0.5000 0.0000 0.0000
Cd 0.0000 0.5000 0.0000

Values from the calculation:
space-group type = P4/mmm, No. 123
VASP energy = -0.14629 Ha/atom
crystal system = tetragonal
DOS at the Fermi energy = 0.388 states/eV/atom


2.
CaPb2Cl6: relaxed, PBE.

a = 6.6873 Å, b = 6.6873 Å, c = 13.1162 Å
α = 90.00°, β = 90.00°, γ = 90.00°
Fractional coordinates of all 18 atoms:
Ca 0.5000 0.5000 0.0000
Ca 0.0000 0.0000 0.5000
Pb 0.5000 0.5000 0.3335
Pb 0.5000 0.5000 0.6665
Pb 0.0000 0.0000 0.1665
Pb 0.0000 0.0000 0.8335
Cl 0.6917 0.6917 0.1594
Cl 0.6917 0.6917 0.8406
Cl 0.7061 0.7061 0.5000
Cl 0.7939 0.2061 0.0000
Cl 0.8083 0.1917 0.3406
Cl 0.8083 0.1917 0.6594
Cl 0.1917 0.8083 0.3406
Cl 0.1917 0.8083 0.6594
Cl 0.2061 0.7939 0.0000
Cl 0.2939 0.2939 0.5000
Cl 0.3083 0.3083 0.1594
Cl 0.3083 0.3083 0.8406

Values from the calculation:
space-group type = P4_2/mnm, No. 136
VASP energy = -0.14125 Ha/atom
crystal system = tetragonal
DOS at the Fermi energy = 0.000 states/eV/atom


3.
Pr6ZnOs2I3: relaxed, PBE.

a = 7.3921 Å, b = 7.3921 Å, c = 8.5840 Å
α = 98.24°, β = 98.24°, γ = 120.00°
Fractional coordinates of all 12 atoms:
Pr 0.9364 0.5793 0.8098
Pr 0.7062 0.7062 0.1892
Pr 0.0636 0.4207 0.1902
Pr 0.5793 0.9364 0.8098
Pr 0.2938 0.2938 0.8108
Pr 0.4207 0.0636 0.1902
Zn 0.0000 0.0000 0.0000
Os 0.3332 0.6668 0.0000
Os 0.6668 0.3332 0.0000
I 0.1649 0.8351 0.5000
I 0.8351 0.1649 0.5000
I 0.5000 0.5000 0.5000

Values from the calculation:
space-group type = C2/m, No. 12
VASP energy = -0.19641 Ha/atom
crystal system = monoclinic
DOS at the Fermi energy = 0.536 states/eV/atom


4.
CdTeW2: relaxed, PBE.

a = 4.8101 Å, b = 2.8945 Å, c = 5.6644 Å
α = 89.73°, β = 90.00°, γ = 90.00°
Fractional coordinates of all 4 atoms:
Te 0.5000 0.7500 0.7500
W 0.0000 0.8836 0.0351
W 0.0000 0.6164 0.4649
Cd 0.5000 0.2500 0.2500

Values from the calculation:
space-group type = P2/m, No. 10
VASP energy = -0.24108 Ha/atom
crystal system = monoclinic
DOS at the Fermi energy = 0.903 states/eV/atom


5.
SrOsRu: relaxed, PBE.

a = 4.5193 Å, b = 4.5193 Å, c = 4.5193 Å
α = 60.00°, β = 60.00°, γ = 60.00°
Fractional coordinates of all 3 atoms:
Ru 0.0000 0.0000 0.0000
Os 0.2500 0.2500 0.2500
Sr 0.7500 0.7500 0.7500

Values from the calculation:
space-group type = F-43m, No. 216
VASP energy = -0.23021 Ha/atom
crystal system = cubic
DOS at the Fermi energy = 2.184 states/eV/atom


6.
Hg6Bi: relaxed, PBE.

a = 7.1255 Å, b = 7.1255 Å, c = 7.1255 Å
α = 109.47°, β = 109.47°, γ = 109.47°
Fractional coordinates of all 7 atoms:
Hg 0.2500 0.7500 0.5000
Hg 0.5000 0.7500 0.2500
Hg 0.2500 0.5000 0.7500
Hg 0.7500 0.2500 0.5000
Hg 0.5000 0.2500 0.7500
Hg 0.7500 0.5000 0.2500
Bi 0.0000 0.0000 0.0000

Values from the calculation:
space-group type = Im-3m, No. 229
VASP energy = -0.01556 Ha/atom
crystal system = cubic
DOS at the Fermi energy = 0.396 states/eV/atom


7.
Pb2WBr: relaxed, PBE.

a = 5.7324 Å, b = 5.7324 Å, c = 3.1411 Å
α = 78.98°, β = 78.98°, γ = 88.39°
Fractional coordinates of all 4 atoms:
Pb 0.0000 0.0000 0.0000
Pb 0.5000 0.5000 0.0000
Br 0.0000 0.5000 0.5000
W 0.5000 0.0000 0.5000

Values from the calculation:
space-group type = C2/m, No. 12
VASP energy = -0.17578 Ha/atom
crystal system = monoclinic
DOS at the Fermi energy = 0.744 states/eV/atom


8.
TaAlRu: relaxed, PBE.

a = 4.2573 Å, b = 4.2573 Å, c = 4.2573 Å
α = 60.00°, β = 60.00°, γ = 60.00°
Fractional coordinates of all 3 atoms:
Ru 0.2500 0.2500 0.2500
Al 0.5000 0.5000 0.5000
Ta 0.0000 0.0000 0.0000

Values from the calculation:
space-group type = F-43m, No. 216
VASP energy = -0.30936 Ha/atom
crystal system = cubic
DOS at the Fermi energy = 1.759 states/eV/atom


9.
Cs4Rb2NaHg2: relaxed, PBE.

a = 7.8018 Å, b = 9.3281 Å, c = 10.3487 Å
α = 92.87°, β = 115.95°, γ = 77.11°
Fractional coordinates of all 9 atoms:
Cs 0.5250 0.7381 0.9383
Cs 0.8229 0.8191 0.5501
Cs 0.4750 0.2619 0.0617
Cs 0.1771 0.1809 0.4499
Rb 0.2228 0.6526 0.3144
Rb 0.7772 0.3474 0.6856
Na 0.0000 0.0000 0.0000
Hg 0.9655 0.3701 0.0725
Hg 0.0345 0.6299 0.9275

Values from the calculation:
space-group type = P-1, No. 2
VASP energy = -0.03315 Ha/atom
crystal system = triclinic
DOS at the Fermi energy = 0.767 states/eV/atom


10.
Pr2Ni4Sn3Rh: relaxed, PBE.

a = 4.2695 Å, b = 4.2695 Å, c = 10.6818 Å
α = 90.00°, β = 90.00°, γ = 90.00°
Fractional coordinates of all 10 atoms:
Pr 0.5000 0.0000 0.2576
Pr 0.0000 0.5000 0.7423
Ni 0.5000 0.5000 0.0000
Ni 0.0000 0.0000 0.0000
Ni 0.5000 0.0000 0.6348
Ni 0.0000 0.5000 0.3652
Sn 0.0000 0.0000 0.5000
Sn 0.5000 0.0000 0.8723
Sn 0.0000 0.5000 0.1277
Rh 0.5000 0.5000 0.5000

Values from the calculation:
space-group type = P-4m2, No. 115
VASP energy = -0.20807 Ha/atom
crystal system = tetragonal
DOS at the Fermi energy = 1.034 states/eV/atom


11.
ErGe4Ir5: relaxed, PBE.

a = 5.5755 Å, b = 8.9172 Å, c = 7.1647 Å
α = 90.00°, β = 90.00°, γ = 90.00°
Fractional coordinates of all 20 atoms:
Er 0.4906 0.0000 0.0000
Er 0.5094 0.5000 0.5000
Ge 0.9887 0.0000 0.8002
Ge 0.4340 0.6627 0.0000
Ge 0.4340 0.3373 0.0000
Ge 0.9887 0.0000 0.1998
Ge 0.0113 0.5000 0.3002
Ge 0.5660 0.8373 0.5000
Ge 0.5660 0.1627 0.5000
Ge 0.0113 0.5000 0.6998
Ir 0.2414 0.7410 0.7184
Ir 0.2414 0.2590 0.7184
Ir 0.7899 0.5000 0.0000
Ir 0.2414 0.7410 0.2816
Ir 0.2414 0.2590 0.2816
Ir 0.7586 0.7590 0.2184
Ir 0.7586 0.2410 0.2184
Ir 0.2101 0.0000 0.5000
Ir 0.7586 0.2410 0.7816
Ir 0.7586 0.7590 0.7816

Values from the calculation:
space-group type = Pmmn, No. 59
VASP energy = -0.25762 Ha/atom
crystal system = orthorhombic
DOS at the Fermi energy = 0.409 states/eV/atom


12.
LaScPb2: relaxed, PBE.

a = 4.9991 Å, b = 4.9903 Å, c = 4.5649 Å
α = 90.00°, β = 90.00°, γ = 90.00°
Fractional coordinates of all 4 atoms:
La 0.0000 0.5000 0.5000
Pb 0.0000 0.0000 0.0000
Pb 0.5000 0.5000 0.0000
Sc 0.5000 0.0000 0.5000

Values from the calculation:
space-group type = P4/mmm, No. 123
VASP energy = -0.18676 Ha/atom
crystal system = tetragonal
DOS at the Fermi energy = 1.123 states/eV/atom


13.
La8TcAu2N: relaxed, PBE.

a = 7.1389 Å, b = 6.5923 Å, c = 7.8076 Å
α = 77.64°, β = 94.42°, γ = 87.20°
Fractional coordinates of all 12 atoms:
La 0.0651 0.7192 0.2834
La 0.7107 0.8423 0.9186
La 0.8129 0.2333 0.1981
La 0.9349 0.2808 0.7166
La 0.2893 0.1577 0.0814
La 0.1871 0.7667 0.8019
La 0.6053 0.7742 0.4692
La 0.3947 0.2258 0.5308
Tc 0.0000 0.0000 0.5000
Au 0.5464 0.4234 0.8292
Au 0.4536 0.5766 0.1708
N 0.0000 0.0000 0.0000

Values from the calculation:
space-group type = P-1, No. 2
VASP energy = -0.21518 Ha/atom
crystal system = triclinic
DOS at the Fermi energy = 1.054 states/eV/atom


14.
SbPbN2: relaxed, PBE.

a = 4.4183 Å, b = 4.4183 Å, c = 4.4183 Å
α = 60.00°, β = 60.00°, γ = 60.00°
Fractional coordinates of all 4 atoms:
Pb 0.5000 0.5000 0.5000
Sb 0.0000 0.0000 0.0000
N 0.2500 0.2500 0.2500
N 0.7500 0.7500 0.7500

Values from the calculation:
space-group type = Fm-3m, No. 225
VASP energy = -0.17304 Ha/atom
crystal system = cubic
DOS at the Fermi energy = 0.422 states/eV/atom


15.
Pb2WSe: relaxed, PBE.

a = 5.4155 Å, b = 3.9271 Å, c = 6.1406 Å
α = 53.06°, β = 90.00°, γ = 90.00°
Fractional coordinates of all 4 atoms:
Pb 0.0000 0.7728 0.9908
Pb 0.0000 0.7272 0.5092
Se 0.5000 0.2500 0.2500
W 0.5000 0.7500 0.7500

Values from the calculation:
space-group type = P2/m, No. 10
VASP energy = -0.19173 Ha/atom
crystal system = monoclinic
DOS at the Fermi energy = 0.763 states/eV/atom


16.
In3NiAs: relaxed, PBE.

a = 5.3496 Å, b = 5.3496 Å, c = 5.3496 Å
α = 90.00°, β = 90.00°, γ = 90.00°
Fractional coordinates of all 5 atoms:
Ni 0.5000 0.5000 0.5000
As 0.0000 0.0000 0.0000
In 0.0000 0.5000 0.0000
In 0.0000 0.0000 0.5000
In 0.5000 0.0000 0.0000

Values from the calculation:
space-group type = Pm-3m, No. 221
VASP energy = -0.10667 Ha/atom
crystal system = cubic
DOS at the Fermi energy = 0.765 states/eV/atom


17.
Na2ScH: relaxed, PBE.

a = 5.2340 Å, b = 5.2340 Å, c = 5.2340 Å
α = 60.00°, β = 60.00°, γ = 60.00°
Fractional coordinates of all 4 atoms:
Sc 0.5000 0.5000 0.5000
Na 0.2500 0.2500 0.2500
Na 0.7500 0.7500 0.7500
H 0.0000 0.0000 0.0000

Values from the calculation:
space-group type = Fm-3m, No. 225
VASP energy = -0.07931 Ha/atom
crystal system = cubic
DOS at the Fermi energy = 0.997 states/eV/atom


18.
YCo2Se: relaxed, PBE.

a = 4.8865 Å, b = 4.8865 Å, c = 4.3795 Å
α = 75.23°, β = 75.23°, γ = 43.92°
Fractional coordinates of all 4 atoms:
Co 0.0186 0.0186 0.8973
Co 0.4814 0.4814 0.6027
Se 0.7500 0.7500 0.7500
Y 0.2500 0.2500 0.2500

Values from the calculation:
space-group type = C2/m, No. 12
VASP energy = -0.22728 Ha/atom
crystal system = monoclinic
DOS at the Fermi energy = 1.004 states/eV/atom


19.
Pm2NdTm5: relaxed, PBE.

a = 9.8502 Å, b = 6.4543 Å, c = 10.8682 Å
α = 119.82°, β = 116.95°, γ = 90.00°
Fractional coordinates of all 16 atoms:
Pm 0.1785 0.4601 0.8484
Pm 0.6700 0.9601 0.8484
Pm 0.8215 0.5399 0.1516
Pm 0.3300 0.0399 0.1516
Nd 0.0000 0.0000 0.5000
Nd 0.5000 0.5000 0.5000
Tm 0.4901 0.4431 0.8007
Tm 0.9435 0.7500 0.0000
Tm 0.0565 0.2500 0.0000
Tm 0.8955 0.6305 0.6110
Tm 0.1045 0.3695 0.3890
Tm 0.7155 0.1305 0.6110
Tm 0.2845 0.8695 0.3890
Tm 0.5099 0.5569 0.1993
Tm 0.3106 0.9431 0.8007
Tm 0.6894 0.0569 0.1993

Values from the calculation:
space-group type = C2/c, No. 15
VASP energy = -0.16159 Ha/atom
crystal system = monoclinic
DOS at the Fermi energy = 1.483 states/eV/atom


20.
Pr2Zn3Cu12Pd: relaxed, PBE.

a = 9.7767 Å, b = 9.7767 Å, c = 9.7767 Å
α = 36.92°, β = 36.92°, γ = 36.92°
Fractional coordinates of all 18 atoms:
Pr 0.6493 0.6493 0.6493
Pr 0.3507 0.3507 0.3507
Zn 0.5000 0.0000 0.0000
Zn 0.0000 0.5000 0.0000
Zn 0.0000 0.0000 0.5000
Cu 0.4190 0.4190 0.8067
Cu 0.9304 0.9304 0.3587
Cu 0.3587 0.9304 0.9304
Cu 0.8067 0.4190 0.4190
Cu 0.9304 0.3587 0.9304
Cu 0.4190 0.8067 0.4190
Cu 0.5810 0.5810 0.1933
Cu 0.0696 0.0696 0.6413
Cu 0.6413 0.0696 0.0696
Cu 0.1933 0.5810 0.5810
Cu 0.0696 0.6413 0.0696
Cu 0.5810 0.1933 0.5810
Pd 0.0000 0.0000 0.0000

Values from the calculation:
space-group type = R-3m, No. 166
VASP energy = -0.13491 Ha/atom
crystal system = trigonal
DOS at the Fermi energy = 0.387 states/eV/atom